# 1
DFT (PBE-GGA) results for an optimized crystal structure of PuGaRu2.

Summary:
Energy: -9.175 eV/atom

Unit cell a=3.2304 b=3.2304 c=6.3587 alpha=90.00 beta=90.00 gamma=90.00
Closest atoms and distances in Å follow each position.
Space group P4/mmm (No. 123)
Asymmetric unit:
Pu1 0.0000 0.0000 0.0000 [1 per cell]  8 Ru 2.87, 2 Ga 3.18
Ga1 0.0000 0.0000 0.5000 [1 per cell]  8 Ru 2.70
Ru1 0.5000 0.5000 0.2743 [2 per cell]  4 Ga 2.70, 1 Ru 2.87, 4 Pu 2.87

# 2
DFT (PBE-GGA) results for an optimized crystal structure of TaNiRh2.

Summary:
Energy: -8.075 eV/atom

Unit cell a=2.7740 b=2.7740 c=26.3456 alpha=90.00 beta=90.00 gamma=120.00
Closest atoms and distances in Å follow each position.
Space group R3m (No. 160, hexagonal axes)
Asymmetric unit:
Ta1 0.0000 0.0000 0.0000 [3 per cell]  3 Ni 2.70, 3 Rh 2.76, 6 Ta 2.77
Ni1 0.0000 0.0000 0.2506 [3 per cell]  3 Rh 2.63, 3 Ta 2.70, 6 Ni 2.77
Rh1 0.0000 0.0000 0.5050 [3 per cell]  3 Ni 2.63, 9 Rh 2.77-2.78
Rh2 0.0000 0.0000 0.7521 [3 per cell]  3 Ta 2.76, 9 Rh 2.77-2.78